Entry 1:
This record from Alexandria describes an optimized crystal structure of AcNd2Dy3Se6. The functional is PBE.

Results
**N(E_F)**: 0.458 states/eV per atom
**Formation energy without anion corrections**: -1.794 eV/atom

Lattice parameters (Å, degrees): 7.1564 12.4570 7.4219 90.00 108.92 90.00
Closest atoms and distances in Å follow each position.
Space group C2/m (No. 12)
Symmetry-distinct sites (fractional):
Ac  0.0000  0.0000  0.0000 x2  6 Se 3.08-3.09
Nd  0.0000  0.3321  0.0000 x4  6 Se 3.03
Dy  0.0000  0.1643  0.5000 x4  6 Se 2.86-2.90
Dy  0.0000  0.5000  0.5000 x2  6 Se 2.85-2.90
Se  0.2393  0.3301  0.7291 x8  3 Dy 2.86-2.90, 2 Nd 3.03, 1 Ac 3.09
Se  0.2486  0.5000  0.2674 x4  3 Dy 2.85-2.90, 2 Nd 3.03, 1 Ac 3.08

=====

Entry 2:
This record from Alexandria describes an optimized crystal structure of Tb6Hg5Au. The functional is PBE.

Results
**Energy of formation**: -0.5376 eV per atom
**N(E_F)**: 0.960 states/eV per atom

Lattice parameters (Å, degrees): 5.2395 15.7407 7.4724 90.00 90.00 90.00
Closest atoms and distances in Å follow each position.
Space group Cmmm (No. 65)
Symmetry-distinct sites (fractional):
Tb  0.0000  0.0000  0.2421 x4  2 Au 3.18, 6 Hg 3.25-3.27
Tb  0.0000  0.3370  0.2472 x8  1 Au 3.16, 7 Hg 3.19-3.26
Hg  0.0000  0.1681  0.5000 x4  8 Tb 3.23-3.27
Hg  0.0000  0.1715  0.0000 x4  8 Tb 3.19-3.25
Hg  0.0000  0.5000  0.5000 x2  8 Tb 3.19-3.25
Au  0.0000  0.5000  0.0000 x2  8 Tb 3.16-3.18